Entry 1:
Ta2AuSe, optimized geometry, DFT GGA-PBE; total magnetic moment = 0.000 μB/atom; DOS(E_F) = 2.4 states/eV/f.u.; ΔE_f (raw) = -0.008 eV/atom
1.0
4.928 -1.565 0.000
4.928 1.565 0.000
-0.822 0.000 4.667
Ta Au Se
2 1 1
direct
0.000 0.000 0.000
0.203 0.203 0.591
0.739 0.739 0.106
0.484 0.484 0.512

Entry 2:
YTc2F2, optimized geometry, DFT GGA-PBE; total magnetic moment = 0.000 μB/atom; excess energy over the best structure of this formula in the dataset = 189 meV/atom; DOS(E_F) = 4.7 states/eV/f.u.; ΔE_f (raw) = -0.881 eV/atom
1.0
-1.662 1.662 8.395
1.662 -1.662 8.395
1.662 1.662 -8.395
Y Tc F
1 2 2
direct
0.000 0.000 0.000
0.250 0.750 0.500
0.750 0.250 0.500
0.433 0.433 0.000
0.567 0.567 0.000

Entry 3:
MnAl2InW, optimized geometry, DFT GGA-PBE; total magnetic moment = 0.769 μB/atom; formation energy from the elements = 1.910 eV/atom; DOS(E_F) = 3.8 states/eV/f.u.
1.0
4.823 0.000 0.000
0.000 4.823 0.000
0.000 0.000 4.803
Mn Al In W
1 2 1 1
direct
0.000 0.000 0.000
0.000 0.500 0.500
0.500 0.000 0.500
0.000 0.000 0.500
0.500 0.500 0.000

Entry 4:
Zn2CuPd, optimized geometry, DFT GGA-PBE; total magnetic moment = 0.000 μB/atom; formation energy from the elements = -0.211 eV/atom; DOS(E_F) = 1.9 states/eV/f.u.
1.0
1.412 0.815 8.241
-1.412 0.815 8.241
0.000 -1.630 8.241
Zn Cu Pd
2 1 1
direct
0.000 0.000 0.000
0.164 0.164 0.164
0.749 0.749 0.749
0.582 0.582 0.582